Entry 1:
The following is a PBE calculation of a relaxed structure of RbMgCd2Ir, from Alexandria.

abc: 5.356 5.356 5.076
angles: 90.00 90.00 90.00
Space group P4/mmm (No. 123)
Inequivalent atoms, fractional coordinates:
Rb 0.000 0.000 0.000 (multiplicity 1)
Mg 0.500 0.500 0.000 (multiplicity 1)
Cd 0.000 0.500 0.500 (multiplicity 2)
Ir 0.500 0.500 0.500 (multiplicity 1)

Results
volume	29.1	Å³ per atom
E_form	-0.19	eV/f.u.
total energy	-2.688	eV/atom
M_tot	0.0	μB/f.u.


Entry 2:
The following is a PBE calculation of a relaxed structure of Ac4N3O, from Alexandria.

abc: 5.495 5.495 5.495
angles: 90.00 90.00 90.00
Space group Pm-3m (No. 221)
Inequivalent atoms, fractional coordinates:
Ac 0.000 0.000 0.000 (multiplicity 1)
Ac 0.000 0.500 0.500 (multiplicity 3)
N 0.000 0.000 0.500 (multiplicity 3)
O 0.500 0.500 0.500 (multiplicity 1)

Results
formation energy (no corrections)	-11.96	eV per formula unit
volume	20.7	Å³ per atom
total energy	-7.291	eV/atom
M_tot	0.0	μB/f.u.


Entry 3:
The following is a PBE calculation of a relaxed structure of Na2NiH5, from Alexandria.

abc: 4.990 4.990 3.403
angles: 90.00 90.00 90.00
Space group P4/mmm (No. 123)
Inequivalent atoms, fractional coordinates:
Na 0.000 0.500 0.000 (multiplicity 2)
Ni 0.000 0.000 0.500 (multiplicity 1)
H 0.000 0.000 0.000 (multiplicity 1)
H 0.217 0.217 0.500 (multiplicity 4)

Results
volume	10.6	Å³ per atom
total energy	-3.344	eV/atom
M_tot	0.0	μB/f.u.


Which formula does entry 3 have?
Na2NiH5


What is the volume in the second record?
20.7 Å³ per atom